The following is a DFT calculation (PBE) of a relaxed MgFeSi2 crystal.

Cell lengths 4.2821, 4.2821, 4.2821 Å; angles 60.00, 60.00, 60.00 degrees
Atoms (fractional coordinates):
Mg 0.0000 0.0000 0.0000
Fe 0.7500 0.7500 0.7500
Si 0.2500 0.2500 0.2500
Si 0.5000 0.5000 0.5000

## Properties
Symmetry   No. 216
Uncorrected formation energy   33 kJ/mol of atoms

The following is a DFT calculation (PBE) of a relaxed MgFeSi2 crystal.

Cell lengths 4.6916, 4.6916, 2.7059 Å; angles 90.00, 90.00, 110.83 degrees
Atoms (fractional coordinates):
Mg 0.0000 0.0000 0.0000
Fe 0.5000 0.5000 0.0000
Si 0.0000 0.5000 0.5000
Si 0.5000 0.0000 0.5000

## Properties
Symmetry   No. 65
Uncorrected formation energy   14 kJ/mol of atoms

The following is a DFT calculation (PBE) of a relaxed MgFeSi2 crystal.

Cell lengths 4.4620, 4.4620, 4.4620 Å; angles 128.90, 128.90, 75.17 degrees
Atoms (fractional coordinates):
Mg 0.0000 0.0000 0.0000
Fe 0.5000 0.5000 0.0000
Si 0.2500 0.7500 0.5000
Si 0.7500 0.2500 0.5000

## Properties
Symmetry   No. 139
Uncorrected formation energy   8 kJ/mol of atoms

The following is a DFT calculation (PBE) of a relaxed MgFeSi2 crystal.

Cell lengths 6.4914, 6.4914, 6.4914 Å; angles 156.07, 146.67, 41.45 degrees
Atoms (fractional coordinates):
Mg 0.0000 0.0000 0.0000
Fe 0.7992 0.2992 0.5000
Si 0.3115 0.8115 0.5000
Si 0.6407 0.6407 0.0000

## Properties
Symmetry   No. 44
Uncorrected formation energy   -10 kJ/mol of atoms